1.
Compound: BeRhAu
Source: the Alexandria database
Functional: PBE
Structure: optimized geometry

Output
Uncorrected energy, eV/atom: -4.919
Density of states at the Fermi level, states/eV per cell: 1.87
Magnetization, μB/f.u.: 0.0
Relative energy among the computed polymorphs, eV per atom: 0.118

Cell: 2.8060 2.8060 6.0496 Å, 90.00 90.00 120.00°
Element x y z (fractional)
Rh 0.3333 0.6667 0.6191
Au 0.0000 0.0000 0.0294
Be 0.6667 0.3333 0.3514

2.
Compound: ThSnN
Source: the Alexandria database
Functional: PBE
Structure: optimized geometry

Output
Uncorrected energy, eV/atom: -7.305
Density of states at the Fermi level, states/eV per cell: 1.45
Magnetization, μB/f.u.: 0.0
Relative energy among the computed polymorphs, eV per atom: 0.507
Formation energy from raw total energies, eV per atom: -0.72

Cell: 3.5125 3.5125 6.3276 Å, 106.11 106.11 90.00°
Element x y z (fractional)
Sn 0.0297 0.0297 0.0595
Th 0.7334 0.7334 0.4668
N 0.2369 0.2369 0.4737